(1)
# MgPdSeBr2 GGA-PBE relaxed
data_MgPdSeBr2
_cell_length_a 5.0442
_cell_length_b 5.0442
_cell_length_c 5.1637
_cell_angle_alpha 90.00
_cell_angle_beta 90.00
_cell_angle_gamma 90.00
_space_group_name_H-M_alt 'P 4/m m m'
_space_group_IT_number 123
_space_group_name_Hall '-P 4 2'
loop_
_atom_site_label
_atom_site_type_symbol
_atom_site_fract_x
_atom_site_fract_y
_atom_site_fract_z
_atom_site_occupancy
Mg1 Mg 0.0000 0.0000 0.0000 1
Pd1 Pd 0.5000 0.5000 0.5000 1
Se1 Se 0.5000 0.5000 0.0000 1
Br1 Br 0.0000 0.5000 0.5000 1
# excess energy over the best structure of this formula in the dataset: 0.00 eV per formula unit
# crystal system: tetragonal
# formation energy (no corrections): -176 meV/atom


(2)
# SrAlSnCl2 GGA-PBE relaxed
data_SrAlSnCl2
_cell_length_a 5.0142
_cell_length_b 5.0142
_cell_length_c 5.5774
_cell_angle_alpha 90.00
_cell_angle_beta 90.00
_cell_angle_gamma 90.00
_space_group_name_H-M_alt 'P 4/m m m'
_space_group_IT_number 123
_space_group_name_Hall '-P 4 2'
loop_
_atom_site_label
_atom_site_type_symbol
_atom_site_fract_x
_atom_site_fract_y
_atom_site_fract_z
_atom_site_occupancy
Sr1 Sr 0.0000 0.0000 0.0000 1
Al1 Al 0.5000 0.5000 0.5000 1
Sn1 Sn 0.5000 0.5000 0.0000 1
Cl1 Cl 0.0000 0.5000 0.5000 1
# crystal system: tetragonal
# formation energy (no corrections): -761 meV/atom


(3)
# KLiPb2 GGA-PBE relaxed
data_KLiPb2
_cell_length_a 4.7916
_cell_length_b 4.8187
_cell_length_c 5.2633
_cell_angle_alpha 90.00
_cell_angle_beta 90.00
_cell_angle_gamma 90.00
_space_group_name_H-M_alt 'P m m m'
_space_group_IT_number 47
loop_
_space_group_symop_operation_xyz
'x,y,z'
'-x,-y,-z'
'-x,-y,z'
'x,y,-z'
'x,-y,-z'
'-x,y,z'
'-x,y,-z'
'x,-y,z'
loop_
_atom_site_label
_atom_site_type_symbol
_atom_site_fract_x
_atom_site_fract_y
_atom_site_fract_z
_atom_site_occupancy
K1 K 0.0000 0.0000 0.0000 1
Li1 Li 0.5000 0.5000 0.0000 1
Pb1 Pb 0.0000 0.5000 0.5000 1
Pb2 Pb 0.5000 0.0000 0.5000 1
# ΔE_f: -0.048 eV/atom
# excess energy over the best structure of this formula in the dataset: 0.70 eV per formula unit
# crystal system: orthorhombic


What did the third record say?
# KLiPb2 GGA-PBE relaxed
data_KLiPb2
_cell_length_a 4.7916
_cell_length_b 4.8187
_cell_length_c 5.2633
_cell_angle_alpha 90.00
_cell_angle_beta 90.00
_cell_angle_gamma 90.00
_space_group_name_H-M_alt 'P m m m'
_space_group_IT_number 47
loop_
_space_group_symop_operation_xyz
'x,y,z'
'-x,-y,-z'
'-x,-y,z'
'x,y,-z'
'x,-y,-z'
'-x,y,z'
'-x,y,-z'
'x,-y,z'
loop_
_atom_site_label
_atom_site_type_symbol
_atom_site_fract_x
_atom_site_fract_y
_atom_site_fract_z
_atom_site_occupancy
K1 K 0.0000 0.0000 0.0000 1
Li1 Li 0.5000 0.5000 0.0000 1
Pb1 Pb 0.0000 0.5000 0.5000 1
Pb2 Pb 0.5000 0.0000 0.5000 1
# ΔE_f: -0.048 eV/atom
# excess energy over the best structure of this formula in the dataset: 0.70 eV per formula unit
# crystal system: orthorhombic